Hf2HgRh: optimized geometry, PBE.

Calculated values
Formation energy from the elements: -0.43 eV per atom
DOS(E_F): 1.01 states/eV per atom
Size of the total moment: 0.0 μB per cell

```
Hf2HgRh
1.0
3.2765 0.0000 0.0000
0.0000 3.2765 0.0000
0.0000 0.0000 7.2182
Hf Hg Rh
2 1 1
Cartesian
0.0000 0.0000 1.6114
0.0000 0.0000 5.6068
1.6383 1.6383 3.6091
1.6383 1.6383 0.0000
```